# ScCdRu3

ScCdRu3 after structural relaxation (PBEsol, the Alexandria database).

Values from the calculation:
**E_tot**: -0.2103 hartree per atom
**Energy of formation**: 1942 meV/atom
**DOS at the Fermi energy**: 9.10 states/eV per cell
**Total magnetization**: 0.752 μB per atom

a = 4.739 Å, b = 4.739 Å, c = 4.739 Å
α = 90.00°, β = 90.00°, γ = 90.00°
Element x y z (fractional)
Sc (0.500, 0.500, 0.500)
Ru (0.000, 0.500, 0.000)
Ru (0.000, 0.000, 0.500)
Ru (0.500, 0.000, 0.000)
Cd (0.000, 0.000, 0.000)



# CdRuSe

CdRuSe after structural relaxation (PBEsol, the Alexandria database).

Values from the calculation:
**E_tot**: -0.1772 hartree per atom
**DOS at the Fermi energy**: 3.43 states/eV per cell
**Total magnetization**: 0.000 μB per atom
**E_form (uncorrected)**: 24 kJ/mol of atoms

a = 3.436 Å, b = 4.205 Å, c = 4.205 Å
α = 120.00°, β = 90.00°, γ = 90.00°
Element x y z (fractional)
Cd (0.500, 0.000, 0.000)
Ru (0.000, 0.333, 0.667)
Se (0.000, 0.667, 0.333)



# Cd2RuSe

Cd2RuSe after structural relaxation (PBEsol, the Alexandria database).

Values from the calculation:
**E_tot**: -0.1502 hartree per atom
**DOS at the Fermi energy**: 3.47 states/eV per cell
**Total magnetization**: 0.001 μB per atom
**E_form (uncorrected)**: 2 kJ/mol of atoms

a = 3.036 Å, b = 4.545 Å, c = 6.341 Å
α = 111.00°, β = 103.85°, γ = 90.00°
Element x y z (fractional)
Cd (0.984, 0.984, 0.969)
Cd (0.812, 0.312, 0.625)
Ru (0.520, 0.520, 0.041)
Se (0.183, 0.683, 0.366)



# CdRuSe2

CdRuSe2 after structural relaxation (PBEsol, the Alexandria database).

Values from the calculation:
**E_tot**: -0.1714 hartree per atom
**DOS at the Fermi energy**: 3.59 states/eV per cell
**Total magnetization**: 0.000 μB per atom
**E_form (uncorrected)**: 10 kJ/mol of atoms

a = 3.557 Å, b = 3.557 Å, c = 6.448 Å
α = 90.00°, β = 90.00°, γ = 90.00°
Element x y z (fractional)
Cd (0.000, 0.000, 0.447)
Ru (0.500, 0.500, 0.917)
Se (0.000, 0.000, 0.852)
Se (0.500, 0.500, 0.284)